KLiSe2: relaxed, PBE.

a b c (Å): 9.9583 9.9583 9.9583
angles (deg): 21.02 21.02 21.02
With the nearest neighbours (Å) after each atom.
Positions (direct):
K 0.5000 0.5000 0.5000  6 Se 3.26, 6 K 3.63
Se 0.9188 0.9188 0.9188  1 Li 2.37
Se 0.0812 0.0812 0.0812  1 Li 2.37
Li 0.0000 0.0000 0.0000  2 Se 2.37

Its space-group type is No. 166. For the spin magnetization, the calculation gives 0.000 μB per atom. The density of states at the Fermi level comes out at 3.58 states/eV/f.u. The calculation puts the uncorrected formation energy at -389 meV/atom.

***

Cd2HgBi2Pb4: relaxed, PBE.

a b c (Å): 6.7088 7.2278 8.1153
angles (deg): 111.34 128.90 87.98
With the nearest neighbours (Å) after each atom.
Positions (direct):
Cd 0.8136 0.3743 0.9837  1 Hg 2.95, 1 Cd 2.96, 3 Pb 3.11-3.26, 2 Bi 3.25-3.27
Bi 0.2450 0.7804 0.4805  2 Cd 3.25-3.27, 6 Pb 3.34-3.56
Pb 0.3648 0.1973 0.9470  2 Cd 3.11-3.26, 1 Hg 3.20, 2 Bi 3.37-3.48, 1 Pb 3.41
Cd 0.1864 0.6257 0.0163  1 Hg 2.95, 1 Cd 2.96, 3 Pb 3.11-3.26, 2 Bi 3.25-3.27
Pb 0.2269 0.3319 0.5069  1 Hg 3.19, 2 Cd 3.26-3.45, 3 Bi 3.34-3.55
Pb 0.7731 0.6681 0.4931  1 Hg 3.19, 2 Cd 3.26-3.45, 3 Bi 3.34-3.55
Bi 0.7550 0.2196 0.5195  2 Cd 3.25-3.27, 6 Pb 3.34-3.56
Hg 0.0000 0.0000 0.0000  2 Cd 2.95, 4 Pb 3.19-3.20
Pb 0.6352 0.8027 0.0530  2 Cd 3.11-3.26, 1 Hg 3.20, 2 Bi 3.37-3.48, 1 Pb 3.41

Its space-group type is No. 2. For the spin magnetization, the calculation gives 0.000 μB per atom. The calculation puts the formation energy at 0.429 eV per formula unit. The density of states at the Fermi level comes out at 3.93 states/eV/f.u.

***

ReGeW3: relaxed, PBE.

a b c (Å): 4.7872 4.7872 4.7872
angles (deg): 90.00 90.00 90.00
With the nearest neighbours (Å) after each atom.
Positions (direct):
W 0.0000 0.0000 0.5000  2 Re 2.39
Re 0.0000 0.0000 0.0000  6 W 2.39
Ge 0.5000 0.5000 0.5000  12 W 3.39
W 0.0000 0.5000 0.0000  2 Re 2.39
W 0.5000 0.0000 0.0000  2 Re 2.39

Its space-group type is No. 221. For the spin magnetization, the calculation gives 0.000 μB per atom. The calculation puts the formation energy at 10.318 eV per formula unit. The density of states at the Fermi level comes out at 6.83 states/eV/f.u.

***

K2BePb: relaxed, PBE.

a b c (Å): 5.8240 5.8240 5.8240
angles (deg): 60.00 60.00 60.00
With the nearest neighbours (Å) after each atom.
Positions (direct):
Pb 0.5000 0.5000 0.5000  8 K 3.57
K 0.7500 0.7500 0.7500  4 Pb 3.57, 4 Be 3.57
Be 0.0000 0.0000 0.0000  8 K 3.57
K 0.2500 0.2500 0.2500  4 Pb 3.57, 4 Be 3.57

Its space-group type is No. 225. For the spin magnetization, the calculation gives 0.000 μB per atom. The calculation puts the formation energy at 2.616 eV per formula unit. The density of states at the Fermi level comes out at 3.89 states/eV/f.u.

***

Q: Look up the spin magnetization of the second one.
A: 0.000 μB per atom

***

Q: What is the spin magnetization in the second record?
A: 0.000 μB per atom

***

Q: What is the spin magnetization in the first record?
A: 0.000 μB per atom

***

Q: spin magnetization of number 2 (Cd2HgBi2Pb4)?
A: 0.000 μB per atom